The following is a PBE with a Hubbard U calculation of crystalline Li2CdFe3O6 at its relaxed geometry, from Alexandria.

a = 7.090 Å, b = 7.090 Å, c = 6.205 Å
α = 104.26°, β = 104.26°, γ = 25.00°
Sites, in units of the cell vectors:
Li1 0.179 0.179 0.357
Li2 0.821 0.821 0.643
Cd1 0.500 0.500 0.000
Fe1 0.173 0.173 0.821
Fe2 0.500 0.500 0.500
Fe3 0.827 0.827 0.179
O1 0.019 0.019 0.740
O2 0.324 0.324 0.938
O3 0.330 0.330 0.401
O4 0.670 0.670 0.599
O5 0.676 0.676 0.062
O6 0.981 0.981 0.260

## Properties
calculated total energy	-5.795	eV per atom